1.
VASP calculation (GGA-PBEsol) on an optimized crystal structure of OsRu2Rh.

Summary:
total DFT energy (no corrections)	-10.10	eV per atom
magnetic moment	0.00	μB/f.u.

Cell: 8.871 2.669 4.635 Å, 90.00 99.97 90.00°
Space group Cm (No. 8)
Asymmetric unit:
Os 0.000 0.000 0.000 [2 per cell]
Ru 0.249 0.500 0.247 [2 per cell]
Ru 0.497 0.000 0.493 [2 per cell]
Rh 0.249 0.000 0.747 [2 per cell]



2.
VASP calculation (GGA-PBEsol) on an optimized crystal structure of OsRu2Rh.

Summary:
total DFT energy (no corrections)	-10.10	eV per atom
magnetic moment	0.00	μB/f.u.

Cell: 2.667 2.667 7.595 Å, 90.00 90.00 90.00°
Space group P4/mmm (No. 123)
Asymmetric unit:
Os 0.000 0.000 0.000 [1 per cell]
Ru 0.500 0.500 0.249 [2 per cell]
Rh 0.000 0.000 0.500 [1 per cell]



3.
VASP calculation (GGA-PBEsol) on an optimized crystal structure of OsRu2Rh.

Summary:
total DFT energy (no corrections)	-10.09	eV per atom
magnetic moment	0.00	μB/f.u.

Cell: 2.663 2.663 7.618 Å, 90.00 90.00 90.00°
Space group P4mm (No. 99)
Asymmetric unit:
Os 0.000 0.000 0.000 [1 per cell]
Ru 0.000 0.000 0.504 [1 per cell]
Ru 0.500 0.500 0.751 [1 per cell]
Rh 0.500 0.500 0.253 [1 per cell]



4.
VASP calculation (GGA-PBEsol) on an optimized crystal structure of OsRu2Rh.

Summary:
total DFT energy (no corrections)	-10.09	eV per atom
magnetic moment	0.00	μB/f.u.

Cell: 8.868 2.668 4.638 Å, 90.00 99.90 90.00°
Space group C2/m (No. 12)
Asymmetric unit:
Os 0.000 0.000 0.000 [2 per cell]
Ru 0.248 0.500 0.246 [4 per cell]
Rh 0.000 0.500 0.500 [2 per cell]



5.
VASP calculation (GGA-PBEsol) on an optimized crystal structure of OsRu2Rh.

Summary:
total DFT energy (no corrections)	-10.10	eV per atom
magnetic moment	0.00	μB/f.u.

Cell: 2.6764 2.6764 26.1912 Å, 90.00 90.00 120.00°
Space group R-3m (No. 166, hexagonal axes)
Asymmetric unit:
Os 0.0000 0.0000 0.0000 [3 per cell]
Ru 0.0000 0.0000 0.2506 [6 per cell]
Rh 0.0000 0.0000 0.5000 [3 per cell]



6.
VASP calculation (GGA-PBEsol) on an optimized crystal structure of OsRu2Rh.

Summary:
total DFT energy (no corrections)	-10.09	eV per atom
magnetic moment	0.00	μB/f.u.

Cell: 2.666 3.794 5.341 Å, 90.00 90.00 90.00°
Space group Pmm2 (No. 25)
Asymmetric unit:
Os 0.000 0.000 0.000 [1 per cell]
Ru 0.000 0.000 0.507 [1 per cell]
Ru 0.500 0.500 0.754 [1 per cell]
Rh 0.500 0.500 0.255 [1 per cell]



7.
VASP calculation (GGA-PBEsol) on an optimized crystal structure of OsRu2Rh.

Summary:
total DFT energy (no corrections)	-10.10	eV per atom
magnetic moment	0.00	μB/f.u.

Cell: 5.350 7.569 2.668 Å, 90.00 90.00 90.00°
Space group Cmmm (No. 65)
Asymmetric unit:
Os 0.000 0.000 0.000 [2 per cell]
Ru 0.250 0.250 0.500 [4 per cell]
Rh 0.000 0.500 0.000 [2 per cell]



8.
VASP calculation (GGA-PBEsol) on an optimized crystal structure of OsRu2Rh.

Summary:
total DFT energy (no corrections)	-10.10	eV per atom
magnetic moment	0.00	μB/f.u.

Cell: 2.670 3.784 5.351 Å, 90.00 90.00 90.00°
Space group Pmmm (No. 47)
Asymmetric unit:
Os 0.000 0.000 0.000 [1 per cell]
Ru 0.500 0.500 0.247 [2 per cell]
Rh 0.000 0.000 0.500 [1 per cell]



9.
VASP calculation (GGA-PBEsol) on an optimized crystal structure of OsRu2Rh.

Summary:
total DFT energy (no corrections)	-10.09	eV per atom
magnetic moment	0.00	μB/f.u.

Cell: 2.6750 2.6750 26.1932 Å, 90.00 90.00 120.00°
Space group R3m (No. 160, hexagonal axes)
Asymmetric unit:
Os 0.0000 0.0000 0.0000 [3 per cell]
Ru 0.0000 0.0000 0.2506 [3 per cell]
Ru 0.0000 0.0000 0.5019 [3 per cell]
Rh 0.0000 0.0000 0.7511 [3 per cell]



10.
VASP calculation (GGA-PBEsol) on an optimized crystal structure of OsRh3S.

Summary:
magnetic moment	0.00	μB/f.u.
uncorrected formation energy	1.695	eV/atom

Cell: 4.623 4.623 4.623 Å, 90.00 90.00 90.00°
Space group Pm-3m (No. 221)
Asymmetric unit:
Os 0.000 0.000 0.000 [1 per cell]
Rh 0.000 0.000 0.500 [3 per cell]
S 0.500 0.500 0.500 [1 per cell]



11.
VASP calculation (GGA-PBEsol) on an optimized crystal structure of OsRh3S.

Summary:
magnetic moment	1.93	μB/f.u.
uncorrected formation energy	0.870	eV/atom

Cell: 4.257 4.257 4.257 Å, 90.00 90.00 90.00°
Space group Pm-3m (No. 221)
Asymmetric unit:
Os 0.000 0.000 0.000 [1 per cell]
Rh 0.000 0.500 0.500 [3 per cell]
S 0.500 0.500 0.500 [1 per cell]



12.
VASP calculation (GGA-PBEsol) on an optimized crystal structure of SbOs2Rh.

Summary:
magnetic moment	0.00	μB/f.u.
uncorrected formation energy	0.391	eV/atom

Cell: 3.993 3.993 7.565 Å, 90.00 90.00 90.00°
Space group I4/mmm (No. 139)
Asymmetric unit:
Sb 0.000 0.000 0.000 [2 per cell]
Os 0.000 0.500 0.250 [4 per cell]
Rh 0.000 0.000 0.500 [2 per cell]



13.
VASP calculation (GGA-PBEsol) on an optimized crystal structure of Sb2OsRh.

Summary:
magnetic moment	0.00	μB/f.u.
uncorrected formation energy	0.202	eV/atom

Cell: 8.285 3.191 5.476 Å, 90.00 102.64 90.00°
Space group C2/m (No. 12)
Asymmetric unit:
Sb 0.248 0.000 0.247 [4 per cell]
Os 0.000 0.500 0.000 [2 per cell]
Rh 0.000 0.000 0.500 [2 per cell]



14.
VASP calculation (GGA-PBEsol) on an optimized crystal structure of Sb2OsRh.

Summary:
magnetic moment	0.00	μB/f.u.
uncorrected formation energy	0.065	eV/atom

Cell: 4.198 3.222 10.419 Å, 90.00 90.00 90.00°
Space group Amm2 (No. 38)
Asymmetric unit:
Sb 0.000 0.000 0.000 [2 per cell]
Sb 0.500 0.000 0.296 [2 per cell]
Os 0.000 0.000 0.733 [2 per cell]
Rh 0.500 0.000 0.553 [2 per cell]



15.
VASP calculation (GGA-PBEsol) on an optimized crystal structure of SbOs2Rh.

Summary:
magnetic moment	0.00	μB/f.u.
uncorrected formation energy	0.572	eV/atom

Cell: 5.300 9.923 2.838 Å, 90.00 122.29 90.00°
Space group C2/m (No. 12)
Asymmetric unit:
Sb 0.000 0.000 0.000 [2 per cell]
Os 0.250 0.250 0.500 [4 per cell]
Rh 0.000 0.500 0.000 [2 per cell]



16.
VASP calculation (GGA-PBEsol) on an optimized crystal structure of SbOsRh2.

Summary:
magnetic moment	0.00	μB/f.u.
uncorrected formation energy	0.147	eV/atom

Cell: 2.861 3.841 5.545 Å, 90.00 90.07 90.00°
Space group P2/m (No. 10)
Asymmetric unit:
Sb 0.000 0.000 0.000 [1 per cell]
Os 0.000 0.000 0.500 [1 per cell]
Rh 0.499 0.500 0.267 [2 per cell]



17.
VASP calculation (GGA-PBEsol) on an optimized crystal structure of SbOs2Rh.

Summary:
magnetic moment	0.00	μB/f.u.
uncorrected formation energy	0.370	eV/atom

Cell: 8.994 2.855 4.900 Å, 90.00 103.07 90.00°
Space group C2/m (No. 12)
Asymmetric unit:
Sb 0.000 0.000 0.000 [2 per cell]
Os 0.247 0.500 0.273 [4 per cell]
Rh 0.000 0.500 0.500 [2 per cell]



18.
VASP calculation (GGA-PBEsol) on an optimized crystal structure of SbOsRh2.

Summary:
magnetic moment	0.00	μB/f.u.
uncorrected formation energy	0.402	eV/atom

Cell: 2.9155 2.9155 25.2922 Å, 90.00 90.00 120.00°
Space group R3m (No. 160, hexagonal axes)
Asymmetric unit:
Sb 0.0000 0.0000 0.0000 [3 per cell]
Os 0.0000 0.0000 0.7529 [3 per cell]
Rh 0.0000 0.0000 0.2521 [3 per cell]
Rh 0.0000 0.0000 0.4996 [3 per cell]



19.
VASP calculation (GGA-PBEsol) on an optimized crystal structure of SbOsRh2.

Summary:
magnetic moment	0.00	μB/f.u.
uncorrected formation energy	0.124	eV/atom

Cell: 2.827 4.426 4.829 Å, 90.00 90.00 90.00°
Space group Pmm2 (No. 25)
Asymmetric unit:
Sb 0.000 0.000 0.000 [1 per cell]
Os 0.000 0.500 0.647 [1 per cell]
Rh 0.500 0.000 0.505 [1 per cell]
Rh 0.500 0.500 0.176 [1 per cell]



20.
VASP calculation (GGA-PBEsol) on an optimized crystal structure of SbOs2Rh.

Summary:
magnetic moment	0.00	μB/f.u.
uncorrected formation energy	0.312	eV/atom

Cell: 2.866 3.815 5.649 Å, 90.00 90.00 90.00°
Space group Pmm2 (No. 25)
Asymmetric unit:
Sb 0.000 0.000 0.000 [1 per cell]
Os 0.000 0.000 0.494 [1 per cell]
Os 0.500 0.500 0.299 [1 per cell]
Rh 0.500 0.500 0.768 [1 per cell]



21.
VASP calculation (GGA-PBEsol) on an optimized crystal structure of Sb2OsRh.

Summary:
magnetic moment	0.01	μB/f.u.
uncorrected formation energy	0.375	eV/atom

Cell: 3.0540 3.0540 29.5833 Å, 90.00 90.00 120.00°
Space group R3m (No. 160, hexagonal axes)
Asymmetric unit:
Sb 0.0000 0.0000 0.0000 [3 per cell]
Sb 0.0000 0.0000 0.2082 [3 per cell]
Os 0.0000 0.0000 0.4726 [3 per cell]
Rh 0.0000 0.0000 0.7352 [3 per cell]



22.
VASP calculation (GGA-PBEsol) on an optimized crystal structure of Sb2OsRh.

Summary:
magnetic moment	0.00	μB/f.u.
uncorrected formation energy	0.266	eV/atom

Cell: 6.312 6.671 3.276 Å, 90.00 90.00 90.00°
Space group Cmmm (No. 65)
Asymmetric unit:
Sb 0.250 0.250 0.000 [4 per cell]
Os 0.000 0.000 0.500 [2 per cell]
Rh 0.000 0.500 0.500 [2 per cell]



23.
VASP calculation (GGA-PBEsol) on an optimized crystal structure of Sb2TeOsRh.

Summary:
magnetic moment	0.00	μB/f.u.
uncorrected formation energy	1.248	eV/atom

Cell: 4.897 4.897 5.017 Å, 90.00 90.00 90.00°
Space group P4/mmm (No. 123)
Asymmetric unit:
Sb 0.000 0.500 0.000 [2 per cell]
Te 0.000 0.000 0.500 [1 per cell]
Os 0.500 0.500 0.500 [1 per cell]
Rh 0.000 0.000 0.000 [1 per cell]



24.
VASP calculation (GGA-PBEsol) on an optimized crystal structure of Sc2OsRh.

Summary:
total DFT energy (no corrections)	-9.07	eV per atom
magnetic moment	0.00	μB/f.u.

Cell: 6.352 6.352 6.352 Å, 90.00 90.00 90.00°
Space group Fm-3m (No. 225)
Asymmetric unit:
Sc 0.250 0.250 0.250 [8 per cell]
Os 0.000 0.000 0.000 [4 per cell]
Rh 0.000 0.000 0.500 [4 per cell]



25.
VASP calculation (GGA-PBEsol) on an optimized crystal structure of Sc2OsRh.

Summary:
total DFT energy (no corrections)	-9.08	eV per atom
magnetic moment	0.00	μB/f.u.

Cell: 3.176 3.176 6.375 Å, 90.00 90.00 90.00°
Space group P4/mmm (No. 123)
Asymmetric unit:
Sc 0.000 0.000 0.246 [2 per cell]
Os 0.500 0.500 0.000 [1 per cell]
Rh 0.500 0.500 0.500 [1 per cell]



26.
VASP calculation (GGA-PBEsol) on an optimized crystal structure of ScOsRh2.

Summary:
total DFT energy (no corrections)	-8.99	eV per atom
magnetic moment	0.00	μB/f.u.

Cell: 9.067 2.778 4.756 Å, 90.00 100.04 90.00°
Space group C2/m (No. 12)
Asymmetric unit:
Sc 0.000 0.000 0.000 [2 per cell]
Os 0.000 0.500 0.500 [2 per cell]
Rh 0.245 0.000 0.733 [4 per cell]



27.
VASP calculation (GGA-PBEsol) on an optimized crystal structure of ScOs2Rh.

Summary:
total DFT energy (no corrections)	-9.91	eV per atom
magnetic moment	0.00	μB/f.u.

Cell: 3.781 3.781 4.140 Å, 90.00 90.00 90.00°
Space group P4/mmm (No. 123)
Asymmetric unit:
Sc 0.000 0.000 0.000 [1 per cell]
Os 0.000 0.500 0.500 [2 per cell]
Rh 0.500 0.500 0.000 [1 per cell]



28.
VASP calculation (GGA-PBEsol) on an optimized crystal structure of ScOsRh2.

Summary:
total DFT energy (no corrections)	-9.08	eV per atom
magnetic moment	0.00	μB/f.u.

Cell: 9.081 2.779 4.759 Å, 90.00 100.64 90.00°
Space group Cm (No. 8)
Asymmetric unit:
Sc 0.000 0.000 0.000 [2 per cell]
Os 0.243 0.000 0.690 [2 per cell]
Rh 0.001 0.500 0.510 [2 per cell]
Rh 0.253 0.500 0.224 [2 per cell]



29.
VASP calculation (GGA-PBEsol) on an optimized crystal structure of ScOs2Rh.

Summary:
total DFT energy (no corrections)	-9.71	eV per atom
magnetic moment	0.00	μB/f.u.

Cell: 6.208 6.208 6.208 Å, 90.00 90.00 90.00°
Space group F-43m (No. 216)
Asymmetric unit:
Sc 0.000 0.000 0.000 [4 per cell]
Os 0.000 0.000 0.500 [4 per cell]
Os 0.250 0.250 0.750 [4 per cell]
Rh 0.250 0.250 0.250 [4 per cell]



30.
VASP calculation (GGA-PBEsol) on an optimized crystal structure of ScOsRh2.

Summary:
total DFT energy (no corrections)	-8.79	eV per atom
magnetic moment	0.00	μB/f.u.

Cell: 2.7762 2.7762 26.5214 Å, 90.00 90.00 120.00°
Space group R-3m (No. 166, hexagonal axes)
Asymmetric unit:
Sc 0.0000 0.0000 0.0000 [3 per cell]
Os 0.0000 0.0000 0.5000 [3 per cell]
Rh 0.0000 0.0000 0.2480 [6 per cell]



31.
VASP calculation (GGA-PBEsol) on an optimized crystal structure of ScOsRh2.

Summary:
total DFT energy (no corrections)	-8.82	eV per atom
magnetic moment	2.51	μB/f.u.

Cell: 6.228 6.228 6.228 Å, 90.00 90.00 90.00°
Space group Fm-3m (No. 225)
Asymmetric unit:
Sc 0.000 0.000 0.000 [4 per cell]
Os 0.000 0.000 0.500 [4 per cell]
Rh 0.250 0.250 0.250 [8 per cell]